(1)
The following is a DFT calculation (PBE) of a geometry-optimized Ce2Ho2Mg15 structure.

The structure in CIF format:
```
data_Ce2Ho2Mg15
_cell_length_a 10.5533
_cell_length_b 10.5533
_cell_length_c 15.1670
_cell_angle_alpha 90.00
_cell_angle_beta 90.00
_cell_angle_gamma 120.00
_symmetry_space_group_name_H-M 'R -3 m'
_symmetry_Int_Tables_number 166
_symmetry_space_group_name_Hall '-R 3 2"'
loop_
_atom_site_label
_atom_site_type_symbol
_atom_site_fract_x
_atom_site_fract_y
_atom_site_fract_z
Ce1 Ce 0.0000 0.0000 0.1716
Ho1 Ho 0.0000 0.0000 0.3982
Mg1 Mg 0.0000 0.2957 0.5000
Mg2 Mg 0.0000 0.5000 0.0000
Mg3 Mg 0.0090 0.5045 0.6466
```

## Properties
The value obtained for the total DFT energy (no corrections) is -132.821 eV per cell. The value obtained for the density of states at the Fermi level is 1.504 states/eV/atom. The formation energy comes out at 35 meV/atom.

***

(2)
The following is a DFT calculation (PBE) of a geometry-optimized Pr2NdSmSc structure.

The structure in CIF format:
```
data_Pr2NdSmSc
_cell_length_a 6.358
_cell_length_b 7.937
_cell_length_c 6.669
_cell_angle_alpha 90.00
_cell_angle_beta 90.00
_cell_angle_gamma 90.00
_symmetry_space_group_name_H-M 'P m m a'
_symmetry_Int_Tables_number 51
loop_
_symmetry_equiv_pos_as_xyz
'x,y,z'
'-x,-y,-z'
'-x+1/2,-y,z'
'x+1/2,y,-z'
'x+1/2,-y,-z'
'-x+1/2,y,z'
'-x,y,-z'
'x,-y,z'
loop_
_atom_site_label
_atom_site_type_symbol
_atom_site_fract_x
_atom_site_fract_y
_atom_site_fract_z
Pr1 Pr 0.250 0.205 0.215
Nd1 Nd 0.250 0.000 0.692
Sm1 Sm 0.250 0.500 0.591
Sc1 Sc 0.000 0.500 0.000
```

## Properties
The value obtained for the total DFT energy (no corrections) is -48.907 eV per cell. The value obtained for the density of states at the Fermi level is 1.222 states/eV/atom. The formation energy comes out at 185 meV/atom.

***

(3)
The following is a DFT calculation (PBE) of a geometry-optimized NpMnAlOs structure.

The structure in CIF format:
```
data_NpMnAlOs
_cell_length_a 6.392
_cell_length_b 6.392
_cell_length_c 6.392
_cell_angle_alpha 90.00
_cell_angle_beta 90.00
_cell_angle_gamma 90.00
_symmetry_space_group_name_H-M 'F -4 3 m'
_symmetry_Int_Tables_number 216
_symmetry_space_group_name_Hall 'F -4 2 3'
loop_
_atom_site_label
_atom_site_type_symbol
_atom_site_fract_x
_atom_site_fract_y
_atom_site_fract_z
Np1 Np 0.000 0.000 0.000
Mn1 Mn 0.250 0.250 0.250
Al1 Al 0.000 0.000 0.500
Os1 Os 0.250 0.250 0.750
```

## Properties
The value obtained for the total DFT energy (no corrections) is -149.338 eV per cell. The value obtained for the density of states at the Fermi level is 1.752 states/eV/atom. The formation energy comes out at -63 meV/atom.

***

Q: total DFT energy (no corrections) of number 3 (NpMnAlOs)?
A: -149.338 eV per cell

***

Q: Which value of total DFT energy (no corrections) does entry 3 give?
A: -149.338 eV per cell

***

Please write out number 3 again, unchanged.
The following is a DFT calculation (PBE) of a geometry-optimized NpMnAlOs structure.

The structure in CIF format:
```
data_NpMnAlOs
_cell_length_a 6.392
_cell_length_b 6.392
_cell_length_c 6.392
_cell_angle_alpha 90.00
_cell_angle_beta 90.00
_cell_angle_gamma 90.00
_symmetry_space_group_name_H-M 'F -4 3 m'
_symmetry_Int_Tables_number 216
_symmetry_space_group_name_Hall 'F -4 2 3'
loop_
_atom_site_label
_atom_site_type_symbol
_atom_site_fract_x
_atom_site_fract_y
_atom_site_fract_z
Np1 Np 0.000 0.000 0.000
Mn1 Mn 0.250 0.250 0.250
Al1 Al 0.000 0.000 0.500
Os1 Os 0.250 0.250 0.750
```

## Properties
The value obtained for the total DFT energy (no corrections) is -149.338 eV per cell. The value obtained for the density of states at the Fermi level is 1.752 states/eV/atom. The formation energy comes out at -63 meV/atom.